[1]
VASP calculation (PBE) on a relaxed structure of Th2TaBeIr6.

Cell: 6.455 6.455 6.455 Å, 60.00 60.00 90.00°
Fractional positions:
Th (0.250, 0.750, 0.500)
Th (0.750, 0.250, 0.500)
Ta (0.500, 0.500, 0.000)
Ir (0.229, 0.771, 0.000)
Ir (0.771, 0.771, 0.459)
Ir (0.771, 0.771, 0.000)
Ir (0.229, 0.229, 0.000)
Ir (0.771, 0.229, 0.000)
Ir (0.229, 0.229, 0.541)
Be (0.000, 0.000, 0.000)

Computed properties:
Its total energy is -8.596 eV/atom. For the calculated formation energy, the calculation gives -0.2376 eV/atom.

=====

[2]
VASP calculation (PBE) on a relaxed structure of TaTi2Be2Ir5.

Cell: 3.381 9.137 9.137 Å, 90.00 90.00 90.00°
Fractional positions:
Ti (0.000, 0.825, 0.675)
Ti (0.000, 0.325, 0.825)
Ti (0.000, 0.675, 0.175)
Ti (0.000, 0.175, 0.325)
Ir (0.500, 0.711, 0.425)
Ir (0.500, 0.789, 0.925)
Ir (0.500, 0.500, 0.000)
Ir (0.500, 0.575, 0.711)
Ir (0.500, 0.000, 0.500)
Ir (0.500, 0.425, 0.289)
Ir (0.500, 0.211, 0.075)
Ir (0.500, 0.925, 0.211)
Ir (0.500, 0.075, 0.789)
Ir (0.500, 0.289, 0.575)
Be (0.000, 0.880, 0.380)
Be (0.000, 0.120, 0.620)
Be (0.000, 0.380, 0.120)
Be (0.000, 0.620, 0.880)
Ta (0.000, 0.000, 0.000)
Ta (0.000, 0.500, 0.500)

Computed properties:
Its total energy is -8.656 eV/atom. For the calculated formation energy, the calculation gives -0.7159 eV/atom.

=====

[3]
VASP calculation (PBE) on a relaxed structure of TaBeIr2W.

Cell: 4.765 4.782 4.765 Å, 90.00 90.00 90.00°
Fractional positions:
W (0.000, 0.500, 0.000)
Ta (0.000, 0.000, 0.000)
Be (0.500, 0.500, 0.500)
Ir (0.000, 0.000, 0.500)
Ir (0.500, 0.000, 0.000)

Computed properties:
Its total energy is -7.116 eV/atom. For the calculated formation energy, the calculation gives 2.1347 eV/atom.

=====

[4]
VASP calculation (PBE) on a relaxed structure of YTaBeIr2.

Cell: 3.917 3.917 6.509 Å, 107.51 107.51 90.00°
Fractional positions:
Y (0.000, 0.000, 0.000)
Ta (0.750, 0.250, 0.500)
Be (0.250, 0.750, 0.500)
Ir (0.385, 0.385, 0.770)
Ir (0.615, 0.615, 0.230)

Computed properties:
Its total energy is -8.537 eV/atom. For the calculated formation energy, the calculation gives -0.5843 eV/atom.

=====

[5]
VASP calculation (PBE) on a relaxed structure of Zr2TaBe2Ir5.

Cell: 3.438 9.325 9.325 Å, 90.00 90.00 90.00°
Fractional positions:
Be (0.000, 0.881, 0.381)
Be (0.000, 0.619, 0.881)
Be (0.000, 0.381, 0.119)
Be (0.000, 0.119, 0.619)
Ir (0.500, 0.000, 0.500)
Ir (0.500, 0.571, 0.713)
Ir (0.500, 0.213, 0.071)
Ir (0.500, 0.071, 0.787)
Ir (0.500, 0.429, 0.287)
Ir (0.500, 0.500, 0.000)
Ir (0.500, 0.787, 0.929)
Ir (0.500, 0.929, 0.213)
Ir (0.500, 0.287, 0.571)
Ir (0.500, 0.713, 0.429)
Ta (0.000, 0.500, 0.500)
Ta (0.000, 0.000, 0.000)
Zr (0.000, 0.175, 0.325)
Zr (0.000, 0.675, 0.175)
Zr (0.000, 0.825, 0.675)
Zr (0.000, 0.325, 0.825)

Computed properties:
Its total energy is -8.916 eV/atom. For the calculated formation energy, the calculation gives -0.8454 eV/atom.

=====

[6]
VASP calculation (PBE) on a relaxed structure of Tb2BeIr.

Cell: 3.995 5.620 8.225 Å, 111.85 90.00 90.00°
Fractional positions:
Be (0.750, 0.609, 0.276)
Be (0.250, 0.391, 0.724)
Ir (0.750, 0.621, 0.777)
Ir (0.250, 0.379, 0.223)
Tb (0.750, 0.218, 0.427)
Tb (0.250, 0.787, 0.070)
Tb (0.750, 0.213, 0.930)
Tb (0.250, 0.782, 0.573)

Computed properties:
The energy above the most stable polymorph in this dataset is 0.000 eV/atom. Its total energy is -5.984 eV/atom. For the calculated formation energy, the calculation gives -0.5218 eV/atom.

=====

[7]
VASP calculation (PBE) on a relaxed structure of Tb2BeIr.

Cell: 3.992 3.992 7.195 Å, 73.91 73.90 60.00°
Fractional positions:
Tb (0.891, 0.654, 0.564)
Tb (0.714, 0.477, 0.095)
Be (0.136, 0.899, 0.830)
Ir (0.469, 0.233, 0.829)

Computed properties:
The energy above the most stable polymorph in this dataset is 0.012 eV/atom. Its total energy is -5.972 eV/atom. For the calculated formation energy, the calculation gives -0.5100 eV/atom.

=====

[8]
VASP calculation (PBE) on a relaxed structure of Tb3BeIr2.

Cell: 3.956 11.622 11.223 Å, 90.00 90.00 90.00°
Fractional positions:
Ir (0.750, 0.181, 0.034)
Ir (0.750, 0.319, 0.534)
Ir (0.250, 0.480, 0.807)
Ir (0.750, 0.980, 0.693)
Ir (0.250, 0.020, 0.307)
Ir (0.250, 0.819, 0.966)
Ir (0.250, 0.681, 0.466)
Ir (0.750, 0.520, 0.193)
Tb (0.750, 0.942, 0.123)
Tb (0.250, 0.442, 0.377)
Tb (0.750, 0.306, 0.798)
Tb (0.750, 0.194, 0.298)
Tb (0.750, 0.620, 0.940)
Tb (0.250, 0.058, 0.877)
Tb (0.250, 0.694, 0.202)
Tb (0.750, 0.558, 0.623)
Tb (0.250, 0.120, 0.560)
Tb (0.750, 0.880, 0.440)
Tb (0.250, 0.380, 0.060)
Tb (0.250, 0.806, 0.702)
Be (0.250, 0.130, 0.126)
Be (0.750, 0.630, 0.374)
Be (0.250, 0.370, 0.626)
Be (0.750, 0.870, 0.874)

Computed properties:
Its total energy is -6.590 eV/atom. For the calculated formation energy, the calculation gives -0.7005 eV/atom.

=====

[9]
VASP calculation (PBE) on a relaxed structure of Tb3BeIr3.

Cell: 4.068 5.620 13.255 Å, 85.90 81.17 68.78°
Fractional positions:
Tb (0.474, 0.667, 0.385)
Tb (0.748, 0.736, 0.768)
Tb (0.608, 0.706, 0.077)
Tb (0.526, 0.333, 0.615)
Tb (0.252, 0.264, 0.232)
Tb (0.392, 0.294, 0.923)
Ir (0.960, 0.838, 0.243)
Ir (0.165, 0.212, 0.459)
Ir (0.119, 0.843, 0.919)
Ir (0.040, 0.162, 0.757)
Ir (0.881, 0.157, 0.081)
Ir (0.835, 0.788, 0.541)
Be (0.765, 0.072, 0.399)
Be (0.235, 0.928, 0.601)

Computed properties:
Its total energy is -7.033 eV/atom. For the calculated formation energy, the calculation gives -0.7190 eV/atom.

=====

[10]
VASP calculation (PBE) on a relaxed structure of TbBe3Ir3.

Cell: 6.055 6.055 6.055 Å, 90.00 90.00 90.00°
Fractional positions:
Be (0.500, 0.000, 0.750)
Be (0.000, 0.750, 0.500)
Be (0.250, 0.500, 0.000)
Be (0.750, 0.500, 0.000)
Be (0.000, 0.250, 0.500)
Be (0.500, 0.000, 0.250)
Ir (0.250, 0.000, 0.500)
Ir (0.000, 0.500, 0.750)
Ir (0.750, 0.000, 0.500)
Ir (0.500, 0.750, 0.000)
Ir (0.500, 0.250, 0.000)
Ir (0.000, 0.500, 0.250)
Tb (0.000, 0.000, 0.000)
Tb (0.500, 0.500, 0.500)

Computed properties:
Its total energy is -6.170 eV/atom. For the calculated formation energy, the calculation gives -0.1137 eV/atom.

=====

[11]
VASP calculation (PBE) on a relaxed structure of TbBe2Ir3.

Cell: 3.466 5.424 5.424 Å, 120.01 90.00 90.00°
Fractional positions:
Be (0.000, 0.335, 0.667)
Be (0.000, 0.668, 0.333)
Ir (0.500, 0.001, 0.500)
Ir (0.500, 0.501, 0.000)
Ir (0.500, 0.501, 0.500)
Tb (0.000, 0.001, 0.000)

Computed properties:
Its total energy is -7.121 eV/atom. For the calculated formation energy, the calculation gives -0.6772 eV/atom.

=====

[12]
VASP calculation (PBE) on a relaxed structure of TbBe17Ir.

Cell: 5.651 5.651 5.651 Å, 83.41 83.41 83.41°
Fractional positions:
Be (0.289, 0.703, 0.010)
Be (0.289, 0.010, 0.703)
Be (0.341, 0.341, 0.873)
Be (0.703, 0.289, 0.010)
Be (0.992, 0.509, 0.992)
Be (0.992, 0.992, 0.509)
Be (0.165, 0.647, 0.647)
Be (0.509, 0.992, 0.992)
Be (0.873, 0.341, 0.341)
Be (0.341, 0.873, 0.341)
Be (0.703, 0.010, 0.289)
Be (0.101, 0.101, 0.101)
Be (0.647, 0.647, 0.165)
Be (0.907, 0.907, 0.907)
Be (0.010, 0.289, 0.703)
Be (0.647, 0.165, 0.647)
Be (0.010, 0.703, 0.289)
Tb (0.656, 0.656, 0.656)
Ir (0.326, 0.326, 0.326)

Computed properties:
Its total energy is -4.157 eV/atom. For the calculated formation energy, the calculation gives -0.1132 eV/atom.

=====

[13]
VASP calculation (PBE) on a relaxed structure of Tb3Be2Ir5.

Cell: 3.405 9.864 9.864 Å, 90.00 90.00 90.00°
Fractional positions:
Ir (0.500, 0.430, 0.275)
Ir (0.500, 0.570, 0.725)
Ir (0.500, 0.775, 0.930)
Ir (0.500, 0.070, 0.775)
Ir (0.500, 0.225, 0.070)
Ir (0.500, 0.500, 0.000)
Ir (0.500, 0.275, 0.570)
Ir (0.500, 0.000, 0.500)
Ir (0.500, 0.930, 0.225)
Ir (0.500, 0.725, 0.430)
Tb (0.000, 0.824, 0.676)
Tb (0.000, 0.676, 0.176)
Tb (0.000, 0.000, 0.000)
Tb (0.000, 0.176, 0.324)
Tb (0.000, 0.324, 0.824)
Tb (0.000, 0.500, 0.500)
Be (0.000, 0.619, 0.881)
Be (0.000, 0.119, 0.619)
Be (0.000, 0.381, 0.119)
Be (0.000, 0.881, 0.381)

Computed properties:
Its total energy is -7.321 eV/atom. For the calculated formation energy, the calculation gives -0.7561 eV/atom.

=====

[14]
VASP calculation (PBE) on a relaxed structure of TbTmBeIr.

Cell: 4.822 4.822 4.822 Å, 60.00 60.00 60.00°
Fractional positions:
Ir (0.750, 0.750, 0.750)
Tm (0.000, 0.000, 0.000)
Be (0.250, 0.250, 0.250)
Tb (0.500, 0.500, 0.500)

Computed properties:
Its total energy is -5.848 eV/atom. For the calculated formation energy, the calculation gives -0.4253 eV/atom.

=====

[15]
VASP calculation (PBE) on a relaxed structure of Tb2BeZnIr2.

Cell: 5.765 5.715 7.860 Å, 111.32 111.52 90.00°
Fractional positions:
Tb (0.600, 0.831, 0.661)
Tb (0.400, 0.169, 0.339)
Tb (0.939, 0.669, 0.339)
Tb (0.061, 0.331, 0.661)
Zn (0.000, 0.750, 0.000)
Zn (0.000, 0.250, 0.000)
Ir (0.819, 0.109, 0.217)
Ir (0.181, 0.891, 0.783)
Ir (0.602, 0.391, 0.783)
Ir (0.398, 0.609, 0.217)
Be (0.500, 0.750, 0.000)
Be (0.500, 0.250, 0.000)

Computed properties:
Its total energy is -5.968 eV/atom. For the calculated formation energy, the calculation gives -0.6373 eV/atom.

=====

[16]
VASP calculation (PBE) on a relaxed structure of Be4TcIr.

Cell: 4.374 4.374 4.374 Å, 60.00 60.00 60.00°
Fractional positions:
Be (0.879, 0.374, 0.374)
Be (0.374, 0.879, 0.374)
Be (0.374, 0.374, 0.879)
Be (0.374, 0.374, 0.374)
Tc (0.000, 0.000, 0.000)
Ir (0.750, 0.750, 0.750)

Computed properties:
Its total energy is -6.055 eV/atom. For the calculated formation energy, the calculation gives -0.3661 eV/atom.

=====

[17]
VASP calculation (PBE) on a relaxed structure of Be2TcIr2.

Cell: 6.772 6.772 2.723 Å, 90.00 90.00 90.00°
Fractional positions:
Tc (0.500, 0.500, 0.000)
Tc (0.000, 0.000, 0.000)
Be (0.839, 0.339, 0.500)
Be (0.661, 0.839, 0.500)
Be (0.161, 0.661, 0.500)
Be (0.339, 0.161, 0.500)
Ir (0.863, 0.637, 0.000)
Ir (0.137, 0.363, 0.000)
Ir (0.637, 0.137, 0.000)
Ir (0.363, 0.863, 0.000)

Computed properties:
The energy above the most stable polymorph in this dataset is 0.281 eV/atom. Its total energy is -7.171 eV/atom. For the calculated formation energy, the calculation gives -0.0632 eV/atom.

=====

[18]
VASP calculation (PBE) on a relaxed structure of BeTc3Ir.

Cell: 4.682 4.682 4.682 Å, 90.00 90.00 90.00°
Fractional positions:
Ir (0.000, 0.000, 0.000)
Be (0.500, 0.500, 0.500)
Tc (0.500, 0.000, 0.000)
Tc (0.000, 0.500, 0.000)
Tc (0.000, 0.000, 0.500)

Computed properties:
The energy above the most stable polymorph in this dataset is 1.544 eV/atom. Its total energy is -6.701 eV/atom. For the calculated formation energy, the calculation gives 2.0361 eV/atom.

=====

[19]
VASP calculation (PBE) on a relaxed structure of BeTcIr4.

Cell: 5.098 5.098 5.098 Å, 60.00 60.00 60.00°
Fractional positions:
Ir (0.375, 0.876, 0.375)
Ir (0.375, 0.375, 0.876)
Ir (0.876, 0.375, 0.375)
Ir (0.375, 0.375, 0.375)
Tc (0.750, 0.750, 0.750)
Be (0.000, 0.000, 0.000)

Computed properties:
Its total energy is -7.643 eV/atom. For the calculated formation energy, the calculation gives 0.6129 eV/atom.

=====

[20]
VASP calculation (PBE) on a relaxed structure of BeTcIr3.

Cell: 4.679 4.679 4.679 Å, 90.00 90.00 90.00°
Fractional positions:
Tc (0.000, 0.000, 0.000)
Be (0.500, 0.500, 0.500)
Ir (0.000, 0.500, 0.000)
Ir (0.500, 0.000, 0.000)
Ir (0.000, 0.000, 0.500)

Computed properties:
The energy above the most stable polymorph in this dataset is 1.504 eV/atom. Its total energy is -6.175 eV/atom. For the calculated formation energy, the calculation gives 1.9604 eV/atom.